This record from Alexandria via LeMat-Bulk describes crystalline Dy4MgCd2 at its relaxed geometry. The functional is PBE-GGA. Values from VASP.

Geometry as Quantum ESPRESSO input:
```
&SYSTEM
  ibrav = 0, nat = 7, ntyp = 3
/
ATOMIC_SPECIES
Cd 112.41 Cd.upf
Dy 162.50 Dy.upf
Mg 24.30 Mg.upf
CELL_PARAMETERS angstrom
1.4220 -1.4391 -6.1034
4.5920 -2.2691 3.8871
-5.6200 -2.6805 1.6048
ATOMIC_POSITIONS crystal
Cd 0.5000 0.5000 0.0000
Cd 0.5000 0.0000 0.5000
Dy 0.5000 0.5000 0.5000
Dy 0.5000 0.0000 0.0000
Dy 0.0000 0.5000 0.0000
Dy 0.0000 0.0000 0.5000
Mg 0.0000 0.0000 0.0000
```

## Properties
E above lowest polymorph: 0.000 eV/atom
DFT formation energy: -0.39 eV per formula unit
E_tot: -3.18 eV per atom

***

This record from Alexandria via LeMat-Bulk describes crystalline DyMgCd4 at its relaxed geometry. The functional is PBE-GGA. Values from VASP.

Geometry as Quantum ESPRESSO input:
```
&SYSTEM
  ibrav = 0, nat = 6, ntyp = 3
/
ATOMIC_SPECIES
Cd 112.41 Cd.upf
Dy 162.50 Dy.upf
Mg 24.30 Mg.upf
CELL_PARAMETERS angstrom
3.8390 0.0000 -1.1854
-0.3660 3.8215 -1.1854
0.9602 1.0566 9.9187
ATOMIC_POSITIONS crystal
Cd 0.4232 0.4232 0.8463
Cd 0.5768 0.5768 0.1537
Cd 0.6774 0.1774 0.3548
Cd 0.8226 0.3226 0.6452
Dy 0.0000 0.0000 0.0000
Mg 0.2500 0.7500 0.5000
```

## Properties
E above lowest polymorph: 0.095 eV/atom
DFT formation energy: -0.08 eV per formula unit
E_tot: -1.66 eV per atom